Model A:
## AcLaSmHg (GGA-PBE)

Data for crystalline AcLaSmHg at its relaxed geometry.

The structure in CIF format:
```
data_AcLaSmHg
_space_group_name_H-M_alt 'P 4 m m'
_space_group_IT_number 99
_cell_length_a 3.856
_cell_length_b 3.856
_cell_length_c 9.065
_cell_angle_alpha 90.00
_cell_angle_beta 90.00
_cell_angle_gamma 90.00
loop_
_space_group_symop_operation_xyz
'x,y,z'
'-y,x,z'
'-x,-y,z'
'y,-x,z'
'-x,y,z'
'y,x,z'
'x,-y,z'
'-y,-x,z'
loop_
_atom_site_label
_atom_site_type_symbol
_atom_site_fract_x
_atom_site_fract_y
_atom_site_fract_z
Ac1 Ac 0.000 0.000 0.000
La1 La 0.500 0.500 0.708
Sm1 Sm 0.500 0.500 0.284
Hg1 Hg 0.000 0.000 0.482
```

## Properties
- N(E_F): 1.39 states/eV per atom

=====

Model B:
## AcLaSmHg (GGA-PBE)

Data for crystalline AcLaSmHg at its relaxed geometry.

The structure in CIF format:
```
data_AcLaSmHg
_space_group_name_H-M_alt 'F -4 3 m'
_space_group_IT_number 216
_space_group_name_Hall 'F -4 2 3'
_cell_length_a 8.082
_cell_length_b 8.082
_cell_length_c 8.082
_cell_angle_alpha 90.00
_cell_angle_beta 90.00
_cell_angle_gamma 90.00
loop_
_atom_site_label
_atom_site_type_symbol
_atom_site_fract_x
_atom_site_fract_y
_atom_site_fract_z
Ac1 Ac 0.000 0.000 0.000
La1 La 0.250 0.250 0.250
Sm1 Sm 0.250 0.250 0.750
Hg1 Hg 0.000 0.000 0.500
```

## Properties
- N(E_F): 1.59 states/eV per atom

=====

Which of them is most stable, and which least? Most stable: model A; least stable: model B.

=====

Model A:
## SrAcLaHg (GGA-PBE)

Data for crystalline SrAcLaHg at its relaxed geometry.

The structure in CIF format:
```
data_SrAcLaHg
_space_group_name_H-M_alt 'F -4 3 m'
_space_group_IT_number 216
_space_group_name_Hall 'F -4 2 3'
_cell_length_a 8.392
_cell_length_b 8.392
_cell_length_c 8.392
_cell_angle_alpha 90.00
_cell_angle_beta 90.00
_cell_angle_gamma 90.00
loop_
_atom_site_label
_atom_site_type_symbol
_atom_site_fract_x
_atom_site_fract_y
_atom_site_fract_z
Sr1 Sr 0.000 0.000 0.000
Ac1 Ac 0.250 0.250 0.250
La1 La 0.000 0.000 0.500
Hg1 Hg 0.250 0.250 0.750
```

## Properties
- N(E_F): 1.35 states/eV per atom

=====

Model B:
## SrAcLaHg (GGA-PBE)

Data for crystalline SrAcLaHg at its relaxed geometry.

The structure in CIF format:
```
data_SrAcLaHg
_space_group_name_H-M_alt 'P 4 m m'
_space_group_IT_number 99
_cell_length_a 3.935
_cell_length_b 3.935
_cell_length_c 9.828
_cell_angle_alpha 90.00
_cell_angle_beta 90.00
_cell_angle_gamma 90.00
loop_
_space_group_symop_operation_xyz
'x,y,z'
'-y,x,z'
'-x,-y,z'
'y,-x,z'
'-x,y,z'
'y,x,z'
'x,-y,z'
'-y,-x,z'
loop_
_atom_site_label
_atom_site_type_symbol
_atom_site_fract_x
_atom_site_fract_y
_atom_site_fract_z
Sr1 Sr 0.000 0.000 0.000
Ac1 Ac 0.500 0.500 0.327
La1 La 0.000 0.000 0.596
Hg1 Hg 0.500 0.500 0.789
```

## Properties
- N(E_F): 1.58 states/eV per atom

=====

Which of them is most stable, and which least? Most stable: model B; least stable: model A.

=====

Model A:
## AcLaZnHg (GGA-PBE)

Data for crystalline AcLaZnHg at its relaxed geometry.

The structure in CIF format:
```
data_AcLaZnHg
_space_group_name_H-M_alt 'P 4 m m'
_space_group_IT_number 99
_cell_length_a 3.911
_cell_length_b 3.911
_cell_length_c 7.788
_cell_angle_alpha 90.00
_cell_angle_beta 90.00
_cell_angle_gamma 90.00
loop_
_space_group_symop_operation_xyz
'x,y,z'
'-y,x,z'
'-x,-y,z'
'y,-x,z'
'-x,y,z'
'y,x,z'
'x,-y,z'
'-y,-x,z'
loop_
_atom_site_label
_atom_site_type_symbol
_atom_site_fract_x
_atom_site_fract_y
_atom_site_fract_z
Ac1 Ac 0.000 0.000 0.000
La1 La 0.000 0.000 0.468
Zn1 Zn 0.500 0.500 0.249
Hg1 Hg 0.500 0.500 0.721
```

## Properties
- N(E_F): 1.04 states/eV per atom

=====

Model B:
## AcLaZnHg (GGA-PBE)

Data for crystalline AcLaZnHg at its relaxed geometry.

The structure in CIF format:
```
data_AcLaZnHg
_space_group_name_H-M_alt 'F -4 3 m'
_space_group_IT_number 216
_space_group_name_Hall 'F -4 2 3'
_cell_length_a 7.831
_cell_length_b 7.831
_cell_length_c 7.831
_cell_angle_alpha 90.00
_cell_angle_beta 90.00
_cell_angle_gamma 90.00
loop_
_atom_site_label
_atom_site_type_symbol
_atom_site_fract_x
_atom_site_fract_y
_atom_site_fract_z
Ac1 Ac 0.000 0.000 0.000
La1 La 0.000 0.000 0.500
Zn1 Zn 0.250 0.250 0.750
Hg1 Hg 0.250 0.250 0.250
```

## Properties
- N(E_F): 1.13 states/eV per atom

=====

Which of them is most stable, and which least? Most stable: model A; least stable: model B.